A geometry-optimized K3Ag2Au4 structure. Source: Alexandria via LeMat-Bulk, functional GGA-PBE. Values from VASP.

Properties
E above lowest polymorph: 0.000 eV/atom
ΔE_f: -0.215 eV per atom
Magnetic moment: 0.00 μB per cell
Space-group type: C2/m (12)

```
&SYSTEM
  ibrav = 0, nat = 9, ntyp = 3
/
ATOMIC_SPECIES
K 39.10 K.upf
Ag 107.87 Ag.upf
Au 196.97 Au.upf
CELL_PARAMETERS angstrom
-2.2063 3.6776 2.1088
-3.9748 -3.3346 -3.7584
-0.2402 -4.7528 8.0372
ATOMIC_POSITIONS angstrom
K 0.0000 0.0000 0.0000
K -3.9567 -4.0900 2.9930
K -2.4645 -0.3199 3.3946
Ag -3.3363 -2.0534 0.0904
Ag -3.0849 -2.3565 6.2972
Au -2.7093 -5.0790 6.0227
Au -3.7119 0.6691 0.3649
Au -5.4065 -1.1672 1.7942
Au -1.0147 -3.2427 4.5934
```

---

A geometry-optimized K3Ag4Au2 structure. Source: Alexandria via LeMat-Bulk, functional GGA-PBE. Values from VASP.

Properties
ΔE_f: -0.099 eV per atom
Magnetic moment: 0.00 μB per cell
Space-group type: C2/m (12)

```
&SYSTEM
  ibrav = 0, nat = 9, ntyp = 3
/
ATOMIC_SPECIES
Ag 107.87 Ag.upf
K 39.10 K.upf
Au 196.97 Au.upf
CELL_PARAMETERS angstrom
-3.0923 0.1165 3.6937
-1.5491 -4.4621 -4.2992
6.5384 -4.0631 5.6021
ATOMIC_POSITIONS angstrom
Ag -1.6629 -5.0472 1.9102
Ag 4.4537 -5.9589 3.9166
Ag -2.5567 -2.4498 1.0800
Ag 3.5599 -3.3615 3.0864
K 0.0000 0.0000 0.0000
K 1.7544 -5.8823 1.6543
K 0.1427 -2.5264 3.3422
Au -0.4205 -3.7110 -0.2350
Au 2.3176 -4.6977 5.2316
```

---

A geometry-optimized K2AgAu structure. Source: Alexandria via LeMat-Bulk, functional GGA-PBE. Values from VASP.

Properties
E above lowest polymorph: 0.113 eV/atom
ΔE_f: -0.054 eV per atom
Magnetic moment: 0.00 μB per cell
Space-group type: P4/mmm (123)

```
&SYSTEM
  ibrav = 0, nat = 4, ntyp = 3
/
ATOMIC_SPECIES
Au 196.97 Au.upf
K 39.10 K.upf
Ag 107.87 Ag.upf
CELL_PARAMETERS angstrom
-3.7762 2.6810 1.4698
-2.3725 -4.0411 1.2757
2.7225 0.3869 6.2889
ATOMIC_POSITIONS angstrom
Au -0.6916 -0.3414 6.8770
K 2.3812 0.3384 5.5006
K -2.0537 -0.5350 3.7304
Ag 1.0216 0.1452 2.3598
```

---

A geometry-optimized K2AgAu structure. Source: Alexandria via LeMat-Bulk, functional GGA-PBE. Values from VASP.

Properties
E above lowest polymorph: 0.115 eV/atom
ΔE_f: -0.052 eV per atom
Magnetic moment: 0.00 μB per cell
Space-group type: F-43m (216)

```
&SYSTEM
  ibrav = 0, nat = 4, ntyp = 3
/
ATOMIC_SPECIES
K 39.10 K.upf
Ag 107.87 Ag.upf
Au 196.97 Au.upf
CELL_PARAMETERS angstrom
-3.6159 3.7171 1.6517
-4.0552 1.5068 -3.3022
-5.1146 -1.4875 1.1172
ATOMIC_POSITIONS angstrom
K -3.1964 0.9341 -0.1333
K 0.0000 0.0000 0.0000
Ag -6.3929 1.8682 -0.2667
Au -9.5893 2.8023 -0.4000
```

---

A geometry-optimized K4AgAu4 structure. Source: Alexandria via LeMat-Bulk, functional GGA-PBE. Values from VASP.

Properties
ΔE_f: -0.158 eV per atom
Magnetic moment: 0.00 μB per cell
Space-group type: I-42m (121)

```
&SYSTEM
  ibrav = 0, nat = 9, ntyp = 3
/
ATOMIC_SPECIES
Ag 107.87 Ag.upf
K 39.10 K.upf
Au 196.97 Au.upf
CELL_PARAMETERS angstrom
-1.2449 -4.9260 4.6566
0.7136 -2.8574 -7.9322
6.1032 -2.8748 -1.4094
ATOMIC_POSITIONS angstrom
Ag 0.0000 0.0000 0.0000
K 3.2329 -4.5118 -1.0478
K 2.8856 -3.9834 -5.6819
K 5.0188 -7.4087 -4.2561
K 0.0064 -5.4125 1.6158
Au 3.0438 -6.9375 1.3412
Au 0.4090 -2.7067 -0.4199
Au 5.8381 -5.2798 -6.7907
Au 1.8528 -6.3923 -3.5007
```

---

A geometry-optimized K3Ag2Au4 structure. Source: Alexandria via LeMat-Bulk, functional GGA-PBE. Values from VASP.

Properties
E above lowest polymorph: 0.058 eV/atom
ΔE_f: -0.157 eV per atom
Magnetic moment: 0.00 μB per cell
Space-group type: C2/m (12)

```
&SYSTEM
  ibrav = 0, nat = 9, ntyp = 3
/
ATOMIC_SPECIES
Au 196.97 Au.upf
Ag 107.87 Ag.upf
K 39.10 K.upf
CELL_PARAMETERS angstrom
-3.3377 2.0856 2.7627
-0.9428 -6.2493 -0.6062
6.1671 0.7192 6.9077
ATOMIC_POSITIONS angstrom
Au 2.1632 -0.6751 3.1231
Au 4.3184 -2.1833 6.8653
Au -0.2766 -2.7694 5.9411
Au -2.4318 -1.2612 2.1989
Ag -0.4739 -0.5683 4.0413
Ag 2.3605 -2.8761 5.0229
K -0.0963 -3.6833 2.6642
K 0.0000 0.0000 0.0000
K 1.9829 0.2388 6.4000
```

---

| no. | theoretical density (Mg/m³) |
| --- | --- |
| 1 | 7.23 |
| 2 | 6.02 |
| 3 | 3.93 |
| 4 | 5.58 |
| 5 | 5.32 |
| 6 | 7.36 |